# Sc11In9Pd4 (GGA-PBE, relaxed)
# Energy: -5.4357 eV/atom
data_Sc11In9Pd4
_chemical_formula_sum 'Sc22 In18 Pd8'
_space_group_name_H-M_alt 'C m m m'
_space_group_IT_number 65
_space_group_name_Hall '-C 2 2'
_cell_length_a 14.1037
_cell_length_b 21.1223
_cell_length_c 3.4107
_cell_angle_alpha 90.00
_cell_angle_beta 90.00
_cell_angle_gamma 90.00
loop_
_atom_site_label
_atom_site_type_symbol
_atom_site_fract_x
_atom_site_fract_y
_atom_site_fract_z
Sc1 Sc 0.0000 0.0000 0.0000
Sc2 Sc 0.0000 0.1582 0.0000
Sc3 Sc 0.0000 0.3700 0.0000
Sc4 Sc 0.1942 0.5000 0.0000
Sc5 Sc 0.2419 0.1723 0.0000
In1 In 0.0000 0.5000 0.5000
In2 In 0.1074 0.2601 0.5000
In3 In 0.1426 0.0731 0.5000
Pd1 Pd 0.1516 0.3988 0.5000